# 1
This record from the Alexandria database describes an optimized crystal structure of Mo4WCl. The functional is PBE-GGA.

Structure (extended XYZ):
```
6
Lattice="0.000 3.713 3.713 3.713 0.000 3.713 3.713 3.713 0.000" Properties=species:S:1:pos:R:3 pbc="T T T"
Mo 0.931 0.931 0.931
Mo 2.782 2.782 0.931
Mo 2.782 0.931 2.782
Mo 0.931 2.782 2.782
W 5.569 5.569 5.569
Cl 3.713 3.713 3.713
```

Calculated values
SG = F-43m, No. 216
Uncorrected formation energy = 944 meV per atom
M_tot = 0.000 μB per atom



# 2
This record from the Alexandria database describes an optimized crystal structure of MoW2Cl. The functional is PBE-GGA.

Structure (extended XYZ):
```
16
Lattice="6.371 0.000 0.000 0.000 6.371 0.000 0.000 0.000 6.371" Properties=species:S:1:pos:R:3 pbc="T T T"
Mo 0.000 0.000 0.000
Mo 0.000 3.186 3.186
Mo 3.186 0.000 3.186
Mo 3.186 3.186 0.000
W 1.593 1.593 1.593
W 1.593 1.593 4.778
W 1.593 4.778 1.593
W 1.593 4.778 4.778
W 4.778 1.593 1.593
W 4.778 1.593 4.778
W 4.778 4.778 1.593
W 4.778 4.778 4.778
Cl 0.000 0.000 3.186
Cl 0.000 3.186 0.000
Cl 3.186 0.000 0.000
Cl 3.186 3.186 3.186
```

Calculated values
Energy relative to the lowest polymorph listed for this composition = 823 meV per atom
SG = Fm-3m, No. 225
Uncorrected formation energy = 1183 meV per atom
M_tot = 0.000 μB per atom



# 3
This record from the Alexandria database describes an optimized crystal structure of MoW2Cl. The functional is PBE-GGA.

Structure (extended XYZ):
```
12
Lattice="2.954 0.000 0.000 -1.477 2.558 0.000 0.000 0.000 25.807" Properties=species:S:1:pos:R:3 pbc="T T T"
Mo 0.000 0.000 0.000
Mo 0.000 1.705 17.204
Mo 1.477 0.853 8.602
W 0.000 0.000 6.473
W 0.000 0.000 19.334
W 0.000 1.705 10.731
W 0.000 1.705 23.677
W 1.477 0.853 2.129
W 1.477 0.853 15.075
Cl 0.000 0.000 12.903
Cl 0.000 1.705 4.301
Cl 1.477 0.853 21.505
```

Calculated values
Energy relative to the lowest polymorph listed for this composition = 194 meV per atom
SG = R-3m, No. 166
Uncorrected formation energy = 554 meV per atom
M_tot = 0.000 μB per atom



# 4
This record from the Alexandria database describes an optimized crystal structure of MoWCl. The functional is PBE-GGA.

Structure (extended XYZ):
```
3
Lattice="2.888 0.000 0.000 -1.444 2.501 0.000 0.000 0.000 6.589" Properties=species:S:1:pos:R:3 pbc="T T T"
Mo 0.000 0.000 0.000
W 0.000 1.667 2.287
Cl 1.444 0.834 4.510
```

Calculated values
Energy relative to the lowest polymorph listed for this composition = 25 meV per atom
SG = P3m1, No. 156
Uncorrected formation energy = 482 meV per atom
M_tot = 0.000 μB per atom